Record 1
Nb3GaAg: optimized geometry, PBE-GGA.

The calculation puts the formation energy from the elements at 1686 meV/atom. For the magnetization, the calculation gives 0.0 μB/f.u. Its energy above the most stable polymorph in this dataset is 0.576 eV per atom. The theoretical density comes out at 6.40 g/cm3.

The structure belongs to space group Pm-3m (No. 221); the cell edges are 4.909, 4.909 and 4.909 Å and the angles 90.00°, 90.00° and 90.00°. The distinct sites, in fractional coordinates, are Nb at (0.000, 0.000, 0.500), Ga at (0.500, 0.500, 0.500) and Ag at (0.000, 0.000, 0.000).


Record 2
Nb2GaAg: optimized geometry, PBE-GGA.

The calculation puts the formation energy from the elements at 394 meV/atom. For the magnetization, the calculation gives 0.0 μB/f.u. The theoretical density comes out at 8.11 g/cm3.

The structure belongs to space group I-42d (No. 122); the cell edges are 7.433, 7.433 and 5.389 Å and the angles 90.00°, 90.00° and 90.00°. The distinct sites, in fractional coordinates, are Nb at (0.239, 0.250, 0.125), Ga at (0.000, 0.000, 0.000) and Ag at (0.000, 0.000, 0.500).


Record 3
NbGaAg3: optimized geometry, PBE-GGA.

The calculation puts the formation energy from the elements at 893 meV/atom. For the magnetization, the calculation gives 2.8 μB/f.u. Its energy above the most stable polymorph in this dataset is 0.000 eV per atom. The theoretical density comes out at 7.41 g/cm3.

The structure belongs to space group Pm-3m (No. 221); the cell edges are 4.777, 4.777 and 4.777 Å and the angles 90.00°, 90.00° and 90.00°. The distinct sites, in fractional coordinates, are Nb at (0.000, 0.000, 0.000), Ga at (0.500, 0.500, 0.500) and Ag at (0.000, 0.500, 0.500).


Record 4
NbGaAg3: optimized geometry, PBE-GGA.

The calculation puts the formation energy from the elements at 1355 meV/atom. For the magnetization, the calculation gives 2.1 μB/f.u. Its energy above the most stable polymorph in this dataset is 0.461 eV per atom. The theoretical density comes out at 5.61 g/cm3.

The structure belongs to space group Pm-3m (No. 221); the cell edges are 5.241, 5.241 and 5.241 Å and the angles 90.00°, 90.00° and 90.00°. The distinct sites, in fractional coordinates, are Nb at (0.000, 0.000, 0.000), Ga at (0.500, 0.500, 0.500) and Ag at (0.000, 0.000, 0.500).